No. 1
Below is a relaxed Pr3Al2 crystal, with properties calculated at the PBE level.

Lattice parameters (Å, degrees): 5.064 5.916 5.916 73.00 64.66 64.66
Sites, in units of the cell vectors:
Pr: 0.199 0.301 0.301
Pr: 0.000 0.000 0.000
Pr: 0.801 0.699 0.699
Al: 0.500 0.309 0.691
Al: 0.500 0.691 0.309

Calculated values
Raw total energy in eV/atom: -4.656
Symmetry: Immm, No. 71
Magnetization in μB/cell: 0.00
Formation energy in meV/atom: -291


No. 2
Below is a relaxed PrAl2 crystal, with properties calculated at the PBE level.

Lattice parameters (Å, degrees): 5.719 5.719 5.719 60.00 60.00 60.00
Sites, in units of the cell vectors:
Al: 0.125 0.125 0.125
Al: 0.125 0.125 0.625
Al: 0.625 0.125 0.125
Al: 0.125 0.625 0.125
Pr: 0.750 0.750 0.750
Pr: 0.500 0.500 0.500

Calculated values
Raw total energy in eV/atom: -4.581
Symmetry: Fd-3m, No. 227
Magnetization in μB/cell: 0.00
Formation energy in meV/atom: -493